(1)
PdPtSN2: relaxed, PBE-GGA.

```
PdPtSN2
1.0
-2.028 0.705 -2.967
-0.500 -3.592 -0.512
-6.328 0.255 4.386
Pd N Pt S
1 2 1 1
direct
0.000 0.000 0.000 Pd
0.500 0.000 0.000 N
0.000 0.500 0.000 N
0.500 0.500 0.500 Pt
0.000 0.000 0.500 S
```

calculated volume: 20.7 A^3/atom
spin magnetization: 0.700 μB per formula unit
formation energy from raw total energies: 1.64 eV per atom
symmetry: P4/mmm, No. 123
electronic total energy: -4.766 eV per atom


(2)
Nb2IrWN: relaxed, PBE-GGA.

```
Nb2IrWN
1.0
4.238 0.000 0.000
0.000 4.238 0.000
0.000 0.000 4.087
W Ir N Nb
1 1 1 2
direct
0.000 0.000 0.500 W
0.500 0.500 0.500 Ir
0.000 0.000 0.000 N
0.500 0.000 0.000 Nb
0.000 0.500 0.000 Nb
```

calculated volume: 14.7 A^3/atom
spin magnetization: 0.000 μB per formula unit
formation energy from raw total energies: -0.44 eV per atom
symmetry: P4/mmm, No. 123
electronic total energy: -10.498 eV per atom


(3)
LiCrCl2: relaxed, PBE-GGA.

```
LiCrCl2
1.0
0.000 3.073 3.073
3.073 0.000 3.073
3.073 3.073 0.000
Cr Cl Li
1 2 1
direct
0.500 0.500 0.500 Cr
0.250 0.250 0.250 Cl
0.750 0.750 0.750 Cl
0.000 0.000 0.000 Li
```

calculated volume: 14.5 A^3/atom
spin magnetization: 0.000 μB per formula unit
formation energy from raw total energies: -0.08 eV per atom
symmetry: Fm-3m, No. 225
electronic total energy: -3.886 eV per atom


(4)
Ca3Ge4: relaxed, PBE-GGA.

```
Ca3Ge4
1.0
-2.178 -3.194 1.286
3.476 -1.336 2.569
-3.925 7.345 5.146
Ge Ca
4 3
direct
0.069 0.569 0.139 Ge
0.931 0.431 0.861 Ge
0.652 0.652 0.305 Ge
0.348 0.348 0.695 Ge
0.500 0.000 0.000 Ca
0.182 0.182 0.365 Ca
0.818 0.818 0.635 Ca
```

calculated volume: 24.5 A^3/atom
spin magnetization: 0.000 μB per formula unit
symmetry: Immm, No. 71
E_form: -0.541 eV/atom
electronic total energy: -4.037 eV per atom


(5)
RbAlSb2: relaxed, PBE-GGA.

```
RbAlSb2
1.0
7.707 0.000 0.000
0.000 7.079 0.909
0.000 0.711 11.406
Al Sb Rb
4 8 4
direct
0.131 0.867 0.874 Al
0.131 0.633 0.626 Al
0.869 0.133 0.126 Al
0.869 0.367 0.374 Al
0.830 0.844 0.003 Sb
0.727 0.475 0.153 Sb
0.727 0.025 0.347 Sb
0.273 0.525 0.847 Sb
0.170 0.156 0.997 Sb
0.273 0.975 0.653 Sb
0.170 0.344 0.503 Sb
0.830 0.656 0.497 Sb
0.750 0.048 0.662 Rb
0.250 0.548 0.162 Rb
0.750 0.452 0.838 Rb
0.250 0.952 0.338 Rb
```

calculated volume: 38.6 A^3/atom
spin magnetization: 0.000 μB per formula unit
formation energy from raw total energies: -0.15 eV per atom
symmetry: P2/c, No. 13
electronic total energy: -3.389 eV per atom


(6)
Dy2Sc2Al3: relaxed, PBE-GGA.

```
Dy2Sc2Al3
1.0
3.228 0.000 0.428
0.000 3.253 0.000
-0.375 0.000 15.200
Al Sc Dy
3 2 2
direct
0.859 0.000 0.282 Al
0.141 0.000 0.718 Al
0.000 0.000 0.000 Al
0.702 0.500 0.596 Sc
0.298 0.500 0.404 Sc
0.569 0.500 0.861 Dy
0.431 0.500 0.139 Dy
```

calculated volume: 22.9 A^3/atom
spin magnetization: 0.002 μB per formula unit
symmetry: Cmmm, No. 65
E_form: -0.271 eV/atom
electronic total energy: -4.999 eV per atom